# 1
A plane-wave DFT calculation with PBE-GGA was carried out for Sr3Zn3In8 after structural relaxation.

Calculated values
For the energy of formation from the pure elements, the calculation gives -0.271 eV/atom. As for the crystal system: orthorhombic.

Cell and atoms, written as POSCAR:
```
Sr3Zn3In8
1.0
4.952 0.000 0.000
2.476 8.749 -0.108
2.476 2.278 8.448
Zn In Sr
3 8 3
Direct
0.000 0.850 0.150
0.500 0.000 0.000
0.000 0.150 0.850
0.365 0.929 0.342
0.635 0.658 0.071
0.856 0.786 0.503
0.144 0.214 0.497
0.144 0.497 0.214
0.635 0.071 0.658
0.365 0.342 0.929
0.856 0.503 0.786
0.793 0.207 0.207
0.207 0.793 0.793
0.500 0.500 0.500
```

=====

# 2
A plane-wave DFT calculation with PBE-GGA was carried out for SrInBiCl6 after structural relaxation.

Calculated values
As for the crystal system: trigonal. Its formation energy (no corrections) is -1269 kJ/mol of formula units.

Cell and atoms, written as POSCAR:
```
SrInBiCl6
1.0
7.414 0.000 0.000
-3.707 6.421 0.000
0.000 0.000 13.509
In Cl Sr Bi
2 12 2 2
Direct
0.000 0.000 0.000
0.000 0.000 0.500
0.982 0.628 0.365
0.018 0.647 0.865
0.372 0.018 0.135
0.353 0.372 0.865
0.372 0.353 0.365
0.353 0.982 0.635
0.018 0.372 0.635
0.647 0.018 0.365
0.628 0.982 0.865
0.628 0.647 0.635
0.982 0.353 0.135
0.647 0.628 0.135
0.667 0.333 0.750
0.333 0.667 0.250
0.333 0.667 0.750
0.667 0.333 0.250
```

=====

# 3
A plane-wave DFT calculation with PBE-GGA was carried out for MnZn2In after structural relaxation.

Calculated values
For the energy of formation from the pure elements, the calculation gives 0.142 eV/atom. As for the crystal system: tetragonal.

Cell and atoms, written as POSCAR:
```
MnZn2In
1.0
-1.032 1.472 2.397
1.194 -2.083 1.793
6.308 3.895 0.323
Zn Mn In
2 1 1
Direct
0.500 0.500 0.216
0.000 0.000 0.992
0.500 0.500 0.780
0.000 0.000 0.512
```

=====

# 4
A plane-wave DFT calculation with PBE-GGA was carried out for Er3Tm4Ru4 after structural relaxation.

Calculated values
For the energy of formation from the pure elements, the calculation gives -0.380 eV/atom. As for the crystal system: orthorhombic.

Cell and atoms, written as POSCAR:
```
Er3Tm4Ru4
1.0
3.490 0.000 0.000
0.000 8.778 0.000
-1.745 -4.389 8.040
Tm Ru Er
4 4 3
Direct
0.665 0.474 0.330
0.335 0.144 0.670
0.665 0.856 0.330
0.335 0.526 0.670
0.743 0.243 0.485
0.257 0.757 0.515
0.500 0.223 0.000
0.500 0.777 0.000
0.098 0.098 0.195
0.000 0.500 0.000
0.902 0.902 0.805
```

=====

# 5
A plane-wave DFT calculation with PBE-GGA was carried out for RbSeBr3 after structural relaxation.

Calculated values
As for the crystal system: tetragonal. Its formation energy (no corrections) is -120 kJ/mol of formula units.

Cell and atoms, written as POSCAR:
```
RbSeBr3
1.0
4.211 0.000 0.000
0.000 4.211 0.000
0.000 0.000 10.003
Rb Br Se
1 3 1
Direct
0.000 0.000 0.067
0.000 0.500 0.336
0.000 0.000 0.748
0.500 0.000 0.336
0.500 0.500 0.776
```

=====

# 6
A plane-wave DFT calculation with PBE-GGA was carried out for TeO after structural relaxation.

Calculated values
The value obtained for the energy relative to the lowest polymorph listed for this composition is 0.180 eV per atom. As for the crystal system: tetragonal. Its formation energy (no corrections) is -70 kJ/mol of formula units.

Cell and atoms, written as POSCAR:
```
TeO
1.0
-3.880 4.356 5.240
-6.808 -2.722 -2.779
0.111 -2.392 2.070
O Te
4 4
Direct
0.387 0.387 0.500
0.887 0.113 0.000
0.613 0.613 0.500
0.113 0.887 0.000
0.147 0.147 0.000
0.647 0.353 0.500
0.853 0.853 0.000
0.353 0.647 0.500
```

=====

What VASP energy values result from the calculations? In sequence: -2.4690, -3.6149, -3.4717, -6.6239, -2.1432, -4.4119 eV per atom.